No. 1
# Tb12Nd2Pu | the Alexandria database | PBE-GGA | relaxed
data_Tb12Nd2Pu
_chemical_formula_sum 'Tb48 Nd8 Pu4'
_cell_length_a 7.102
_cell_length_b 11.255
_cell_length_c 24.530
_cell_angle_alpha 90.00
_cell_angle_beta 94.28
_cell_angle_gamma 90.00
_symmetry_space_group_name_H-M 'C 1 2/m 1'
_symmetry_Int_Tables_number 12
_symmetry_space_group_name_Hall '-C 2y'
loop_
_atom_site_label
_atom_site_fract_x
_atom_site_fract_y
_atom_site_fract_z
Tb1 0.014 0.250 0.072
Tb2 0.111 0.249 0.445
Tb3 0.142 0.500 0.574
Tb4 0.145 0.000 0.572
Tb5 0.169 0.249 0.670
Tb6 0.203 0.250 0.801
Tb7 0.220 0.000 0.867
Tb8 0.220 0.500 0.867
Nd1 0.065 0.500 0.271
Nd2 0.067 0.000 0.272
Pu1 0.250 0.000 0.000
# **Formation enthalpy at 0 K**: 0.1321 eV per atom
# **Final energy**: -5.16 eV per atom

=====

No. 2
# Tb4Nd8Pu | the Alexandria database | PBE-GGA | relaxed
data_Tb4Nd8Pu
_chemical_formula_sum 'Tb12 Nd24 Pu3'
_cell_length_a 11.1792
_cell_length_b 11.1792
_cell_length_c 13.5741
_cell_angle_alpha 90.00
_cell_angle_beta 90.00
_cell_angle_gamma 120.00
_symmetry_space_group_name_H-M 'R -3 m'
_symmetry_Int_Tables_number 166
_symmetry_space_group_name_Hall '-R 3 2"'
loop_
_atom_site_label
_atom_site_fract_x
_atom_site_fract_y
_atom_site_fract_z
Tb1 0.0000 0.0000 0.0000
Tb2 0.0000 0.5000 0.0000
Nd1 0.0000 0.0000 0.2427
Nd2 0.0087 0.5043 0.7463
Pu1 0.0000 0.0000 0.5000
# **Formation enthalpy at 0 K**: 0.4934 eV per atom
# **Final energy**: -4.97 eV per atom

=====

Q: What is the final energy in the first record?
A: -5.16 eV per atom

=====

Q: Number 1 is which compound?
A: Tb12Nd2Pu